1.
KSc3As4O12 (PBE, relaxed); ρ = 3.74 g/cm³; DFT total energy = -6.74 eV per atom; SG = R32; ΔE_f (raw) = -1826 meV per atom
1.0
5.517 3.186 2.804
-5.517 3.186 2.804
0.000 -6.371 2.804
K Sc As O
1 3 4 12
Cartesian
0.000 0.000 0.000 K
-3.157 -0.902 2.804 Sc
2.360 -2.283 2.804 Sc
0.797 3.186 2.804 Sc
-2.286 -3.959 4.206 As
0.000 0.000 4.206 As
-2.286 3.959 4.206 As
4.572 0.000 4.206 As
-1.382 -1.516 1.894 O
-4.703 0.000 4.206 O
-0.622 1.955 1.894 O
-1.957 0.000 4.206 O
2.004 -0.439 1.894 O
2.352 -4.073 4.206 O
0.979 -1.695 4.206 O
-0.622 -1.955 6.519 O
0.979 1.695 4.206 O
-1.382 1.516 6.519 O
2.352 4.073 4.206 O
2.004 0.439 6.519 O

=====

2.
Ce6RuPb2 (PBE, relaxed); ρ = 9.31 g/cm³; E_form = -0.31 eV/atom; DFT total energy = -6.12 eV per atom; SG = C2/m
1.0
5.899 -3.512 0.000
5.899 3.512 0.000
-3.560 0.000 5.838
Ce Ru Pb
6 1 2
Cartesian
2.882 1.809 4.550 Ce
1.773 0.000 1.618 Ce
5.356 1.809 1.287 Ce
2.882 -1.809 4.550 Ce
6.465 0.000 4.219 Ce
5.356 -1.809 1.287 Ce
4.119 0.000 2.919 Ru
-0.008 0.000 4.506 Pb
8.246 0.000 1.331 Pb